Entry from Alexandria via LeMat-Bulk: a geometry-optimized InPd3Au2 structure (PBE-GGA).

Lattice parameters (Å, degrees): 7.638 7.638 5.275 90.00 90.00 136.36
Element x y z (fractional)
1 In 0.162 0.838 0.750
2 In 0.838 0.162 0.250
3 Pd 0.070 0.424 0.750
4 Pd 0.347 0.653 0.250
5 Pd 0.424 0.070 0.250
6 Pd 0.576 0.930 0.750
7 Pd 0.653 0.347 0.750
8 Pd 0.930 0.576 0.250
9 Au 0.251 0.251 0.000
10 Au 0.251 0.251 0.500
11 Au 0.749 0.749 0.000
12 Au 0.749 0.749 0.500

Computed properties:
* formation energy: -170 meV per atom
* total magnetization: 0.000 μB per atom
* SG: Cmcm (63)
* final energy: -51.78 eV/cell